# 1
Entry from Alexandria: a geometry-optimized ScNb2Cl structure (GGA-PBE).

Cell lengths 3.7802, 3.7802, 22.4849 Å; angles 90.00, 90.00, 90.00 degrees
With the nearest neighbours (Å) after each atom.
Space group I-42d (No. 122)
Inequivalent atoms, fractional coordinates:
Sc: 0.0000 0.0000 0.0000 (multiplicity 4)  4 Cl 2.67
Nb: 0.2445 0.2500 0.1250 (multiplicity 8)  4 Nb 2.64-2.70
Cl: 0.0000 0.0000 0.5000 (multiplicity 4)  4 Sc 2.67

## Properties
As for the density of states at the Fermi level: 1.46 states/eV/atom. For the uncorrected formation energy, the calculation gives 0.19 eV per atom. For the total energy, the calculation gives -110.15 eV/cell. For the offset from the most stable computed form, the calculation gives 0.00 kJ/mol of atoms.

***

# 2
Entry from Alexandria: a geometry-optimized Sc3NbCl structure (GGA-PBE).

Cell lengths 4.7674, 4.7674, 4.7674 Å; angles 90.00, 90.00, 90.00 degrees
With the nearest neighbours (Å) after each atom.
Space group Pm-3m (No. 221)
Inequivalent atoms, fractional coordinates:
Sc: 0.0000 0.0000 0.5000 (multiplicity 3)  2 Cl 2.38
Nb: 0.5000 0.5000 0.5000 (multiplicity 1)  12 Sc 3.37
Cl: 0.0000 0.0000 0.0000 (multiplicity 1)  6 Sc 2.38

## Properties
As for the density of states at the Fermi level: 0.34 states/eV/atom. For the uncorrected formation energy, the calculation gives -0.10 eV per atom. For the total energy, the calculation gives -31.43 eV/cell. For the offset from the most stable computed form, the calculation gives 0.00 kJ/mol of atoms.

***

# 3
Entry from Alexandria: a geometry-optimized Sc3NbCl structure (GGA-PBE).

Cell lengths 5.2134, 5.2134, 5.2134 Å; angles 90.00, 90.00, 90.00 degrees
With the nearest neighbours (Å) after each atom.
Space group Pm-3m (No. 221)
Inequivalent atoms, fractional coordinates:
Sc: 0.0000 0.0000 0.5000 (multiplicity 3)  2 Nb 2.61
Nb: 0.0000 0.0000 0.0000 (multiplicity 1)  6 Sc 2.61
Cl: 0.5000 0.5000 0.5000 (multiplicity 1)  12 Sc 3.69

## Properties
As for the density of states at the Fermi level: 2.04 states/eV/atom. For the uncorrected formation energy, the calculation gives 0.51 eV per atom. For the total energy, the calculation gives -28.38 eV/cell. For the offset from the most stable computed form, the calculation gives 58.87 kJ/mol of atoms.

***

# 4
Entry from Alexandria: a geometry-optimized Sc2NbSeCl structure (GGA-PBE).

Cell lengths 5.2335, 5.2335, 4.5931 Å; angles 90.00, 90.00, 90.00 degrees
With the nearest neighbours (Å) after each atom.
Space group P4/mmm (No. 123)
Inequivalent atoms, fractional coordinates:
Sc: 0.0000 0.5000 0.0000 (multiplicity 2)  2 Nb 2.62
Nb: 0.0000 0.0000 0.0000 (multiplicity 1)  2 Cl 2.30
Se: 0.5000 0.5000 0.5000 (multiplicity 1)  8 Sc 3.48, 4 Cl 3.70
Cl: 0.0000 0.0000 0.5000 (multiplicity 1)  2 Nb 2.30

## Properties
As for the density of states at the Fermi level: 0.63 states/eV/atom. For the uncorrected formation energy, the calculation gives 0.03 eV per atom. For the total energy, the calculation gives -27.93 eV/cell.

***

# 5
Entry from Alexandria: a geometry-optimized ScNbTl2Cl structure (GGA-PBE).

Cell lengths 5.4816, 5.4816, 4.5584 Å; angles 90.00, 90.00, 90.00 degrees
With the nearest neighbours (Å) after each atom.
Space group P4/mmm (No. 123)
Inequivalent atoms, fractional coordinates:
Sc: 0.0000 0.0000 0.0000 (multiplicity 1)  8 Tl 3.56, 4 Nb 3.88
Nb: 0.5000 0.5000 0.0000 (multiplicity 1)  2 Cl 2.28
Tl: 0.0000 0.5000 0.5000 (multiplicity 2)  2 Cl 2.74
Cl: 0.5000 0.5000 0.5000 (multiplicity 1)  2 Nb 2.28

## Properties
As for the density of states at the Fermi level: 1.27 states/eV/atom. For the uncorrected formation energy, the calculation gives 0.58 eV per atom. For the total energy, the calculation gives -20.09 eV/cell.

***

# 6
Entry from Alexandria: a geometry-optimized ZrScNbCl2 structure (GGA-PBE).

Cell lengths 4.6408, 4.6408, 6.0283 Å; angles 90.00, 90.00, 90.00 degrees
With the nearest neighbours (Å) after each atom.
Space group P4/mmm (No. 123)
Inequivalent atoms, fractional coordinates:
Zr: 0.0000 0.0000 0.0000 (multiplicity 1)  4 Nb 3.28
Sc: 0.5000 0.5000 0.5000 (multiplicity 1)  4 Cl 2.32
Nb: 0.5000 0.5000 0.0000 (multiplicity 1)  2 Sc 3.01, 4 Zr 3.28
Cl: 0.0000 0.5000 0.5000 (multiplicity 2)  2 Sc 2.32

## Properties
As for the density of states at the Fermi level: 1.01 states/eV/atom. For the uncorrected formation energy, the calculation gives 0.28 eV per atom. For the total energy, the calculation gives -27.24 eV/cell.

***

Repeat the first record exactly.
Entry from Alexandria: a geometry-optimized ScNb2Cl structure (GGA-PBE).

Cell lengths 3.7802, 3.7802, 22.4849 Å; angles 90.00, 90.00, 90.00 degrees
With the nearest neighbours (Å) after each atom.
Space group I-42d (No. 122)
Inequivalent atoms, fractional coordinates:
Sc: 0.0000 0.0000 0.0000 (multiplicity 4)  4 Cl 2.67
Nb: 0.2445 0.2500 0.1250 (multiplicity 8)  4 Nb 2.64-2.70
Cl: 0.0000 0.0000 0.5000 (multiplicity 4)  4 Sc 2.67

## Properties
As for the density of states at the Fermi level: 1.46 states/eV/atom. For the uncorrected formation energy, the calculation gives 0.19 eV per atom. For the total energy, the calculation gives -110.15 eV/cell. For the offset from the most stable computed form, the calculation gives 0.00 kJ/mol of atoms.

***

Which value of uncorrected formation energy does entry 6 give?
0.28 eV per atom

***

What is the uncorrected formation energy in the first record?
0.19 eV per atom